[1]
Here is crystalline NdSm7Sc2 at its relaxed geometry from Alexandria. Energies are from GGA-PBE.

Output
VASP energy   -4.43 eV/atom
Energy of formation from the pure elements   614 meV/atom

Cell lengths 8.9421, 15.3258, 5.6311 Å; angles 90.00, 90.00, 90.00 degrees
Space group Cmmm (No. 65)
Symmetry-distinct sites (fractional):
Nd 0.0000 0.0000 0.0000 [2 per cell]
Sm 0.0000 0.2478 0.0000 [4 per cell]
Sm 0.0000 0.5000 0.5000 [2 per cell]
Sm 0.1825 0.1221 0.5000 [8 per cell]
Sc 0.0000 0.2972 0.5000 [4 per cell]

***

[2]
Here is crystalline Nd3Sm3Sc at its relaxed geometry from Alexandria. Energies are from GGA-PBE.

Output
VASP energy   -4.72 eV/atom
Energy of formation from the pure elements   252 meV/atom

Cell lengths 8.6785, 8.6785, 21.9830 Å; angles 90.00, 90.00, 120.00 degrees
Space group R-3 (No. 148, hexagonal axes)
Symmetry-distinct sites (fractional):
Nd 0.0099 0.7602 0.0568 [18 per cell]
Sm 0.0512 0.6052 0.8819 [18 per cell]
Sc 0.0000 0.0000 0.3424 [6 per cell]

***

[3]
Here is crystalline Nd5SmSc2 at its relaxed geometry from Alexandria. Energies are from GGA-PBE.

Output
VASP energy   -5.01 eV/atom
Energy of formation from the pure elements   142 meV/atom

Cell lengths 9.1714, 9.1714, 12.4397 Å; angles 90.00, 90.00, 90.00 degrees
Space group I4/mcm (No. 140)
Symmetry-distinct sites (fractional):
Nd 0.0000 0.0000 0.0000 [4 per cell]
Nd 0.1466 0.3534 0.1586 [16 per cell]
Sm 0.0000 0.0000 0.2500 [4 per cell]
Sc 0.1525 0.3475 0.5000 [8 per cell]

***

[4]
Here is crystalline NdSm14Sc at its relaxed geometry from Alexandria. Energies are from GGA-PBE.

Output
VASP energy   -4.80 eV/atom
Energy of formation from the pure elements   23 meV/atom

Cell lengths 7.2260, 7.2260, 10.1853 Å; angles 90.00, 90.00, 90.00 degrees
Space group P4/mmm (No. 123)
Symmetry-distinct sites (fractional):
Nd 0.0000 0.0000 0.0000 [1 per cell]
Sm 0.0000 0.0000 0.5000 [1 per cell]
Sm 0.0000 0.5000 0.0000 [2 per cell]
Sm 0.0000 0.5000 0.5000 [2 per cell]
Sm 0.2529 0.2529 0.2471 [8 per cell]
Sm 0.5000 0.5000 0.5000 [1 per cell]
Sc 0.5000 0.5000 0.0000 [1 per cell]